Record 1
Computed, not measured: crystalline Hf3CdOs at its relaxed geometry at the PBE-GGA level of DFT.

```
Hf3CdOs
1.0
5.0306 0.0000 0.0000
0.0000 5.0306 0.0000
0.0000 0.0000 5.0306
Hf Cd Os
3 1 1
direct
0.0000 0.0000 0.5000
0.0000 0.5000 0.0000
0.5000 0.0000 0.0000
0.5000 0.5000 0.5000
0.0000 0.0000 0.0000
```

- E above lowest polymorph (meV per atom) = 0
- energy of formation (meV/atom) = 376
- space-group type = Pm-3m (221)


Record 2
Computed, not measured: crystalline LaSe2F at its relaxed geometry at the PBE-GGA level of DFT.

```
LaSe2F
1.0
4.6479 0.0000 0.0000
-2.3240 4.0252 0.0000
0.0000 0.0000 21.2724
La Se F
3 6 3
direct
0.0000 0.0000 0.0000
0.3333 0.6667 0.6667
0.6667 0.3333 0.3333
0.0000 0.0000 0.3989
0.0000 0.0000 0.6011
0.3333 0.6667 0.0656
0.3333 0.6667 0.2677
0.6667 0.3333 0.7323
0.6667 0.3333 0.9344
0.0000 0.0000 0.5000
0.3333 0.6667 0.1667
0.6667 0.3333 0.8333
```

- E above lowest polymorph (meV per atom) = 820
- space-group type = R-3m (166)
- formation energy without anion corrections (kJ/mol of formula units) = -534.7


Record 3
Computed, not measured: crystalline LiNdErCr at its relaxed geometry at the PBE-GGA level of DFT.

```
LiNdErCr
1.0
7.2720 0.0000 0.0000
0.0000 7.2720 0.0000
0.0000 0.0000 7.2720
Li Nd Er Cr
4 4 4 4
direct
0.0000 0.0000 0.0000
0.0000 0.5000 0.5000
0.5000 0.0000 0.5000
0.5000 0.5000 0.0000
0.2500 0.2500 0.2500
0.2500 0.7500 0.7500
0.7500 0.2500 0.7500
0.7500 0.7500 0.2500
0.2500 0.2500 0.7500
0.2500 0.7500 0.2500
0.7500 0.2500 0.2500
0.7500 0.7500 0.7500
0.0000 0.0000 0.5000
0.0000 0.5000 0.0000
0.5000 0.0000 0.0000
0.5000 0.5000 0.5000
```

- energy of formation (meV/atom) = 196
- space-group type = F-43m (216)


Record 4
Computed, not measured: crystalline NaSb2TeO at its relaxed geometry at the PBE-GGA level of DFT.

```
NaSb2TeO
1.0
5.3627 0.0000 0.0000
0.0000 5.3627 0.0000
0.0000 0.0000 5.2498
Na Sb Te O
1 2 1 1
direct
0.0000 0.0000 0.0000
0.0000 0.5000 0.0000
0.5000 0.0000 0.0000
0.0000 0.0000 0.5000
0.5000 0.5000 0.5000
```

- E above lowest polymorph (meV per atom) = 1400
- space-group type = P4/mmm (123)
- formation energy without anion corrections (kJ/mol of formula units) = 585.6


Record 5
Computed, not measured: crystalline LaCuPCl2 at its relaxed geometry at the PBE-GGA level of DFT.

```
LaCuPCl2
1.0
5.4449 0.0000 0.0000
0.0000 5.4449 0.0000
0.0000 0.0000 5.9820
La Cu P Cl
1 1 1 2
direct
0.0000 0.0000 0.0000
0.5000 0.5000 0.5000
0.0000 0.0000 0.5000
0.0000 0.5000 0.0000
0.5000 0.0000 0.0000
```

- E above lowest polymorph (meV per atom) = 436
- space-group type = P4/mmm (123)
- formation energy without anion corrections (kJ/mol of formula units) = -195.3


Record 6
Computed, not measured: crystalline KReTc2 at its relaxed geometry at the PBE-GGA level of DFT.

```
KReTc2
1.0
3.1627 0.0000 0.0000
0.0000 3.1627 0.0000
0.0000 0.0000 8.4136
K Re Tc
1 1 2
direct
0.0000 0.0000 0.0000
0.5000 0.5000 0.3415
0.0000 0.0000 0.5024
0.5000 0.5000 0.6557
```

- E above lowest polymorph (meV per atom) = 255
- energy of formation (meV/atom) = 966
- space-group type = P4mm (99)


Magnetization values (in μB per atom) by entry order: 0.000; 0.000; 0.774; 0.000; 0.203; 0.000.
VASP energy values (in eV/atom) by entry order: -8.025; -4.827; -5.021; -2.319; -4.030; -7.603.